# Mo3Pt5 | Alexandria | PBE | optimized geometry
# E_form ... -227 meV per atom
# Density ... 16.9 g cm⁻³
# Energy relative to the lowest polymorph listed for this composition ... 0.0000 eV per atom
data_Mo3Pt5
_space_group_name_H-M_alt 'C m m m'
_space_group_IT_number 65
_space_group_name_Hall '-C 2 2'
_cell_length_a 7.838
_cell_length_b 8.143
_cell_length_c 3.898
_cell_angle_alpha 90.00
_cell_angle_beta 90.00
_cell_angle_gamma 90.00
loop_
_atom_site_label
_atom_site_type_symbol
_atom_site_fract_x
_atom_site_fract_y
_atom_site_fract_z
_atom_site_occupancy
Mo1 Mo 0.000 0.000 0.000 1
Mo2 Mo 0.241 0.000 0.500 1
Pt1 Pt 0.000 0.246 0.500 1
Pt2 Pt 0.000 0.500 0.000 1
Pt3 Pt 0.250 0.250 0.000 1



# Mo4Pt3 | Alexandria | PBE | optimized geometry
# E_form ... -27 meV per atom
# Density ... 14.5 g cm⁻³
# Energy relative to the lowest polymorph listed for this composition ... 0.0132 eV per atom
data_Mo4Pt3
_space_group_name_H-M_alt 'I 4/m m m'
_space_group_IT_number 139
_space_group_name_Hall '-I 4 2'
_cell_length_a 3.333
_cell_length_b 3.333
_cell_length_c 20.049
_cell_angle_alpha 90.00
_cell_angle_beta 90.00
_cell_angle_gamma 90.00
loop_
_atom_site_label
_atom_site_type_symbol
_atom_site_fract_x
_atom_site_fract_y
_atom_site_fract_z
_atom_site_occupancy
Mo1 Mo 0.000 0.000 0.074 1
Mo2 Mo 0.000 0.000 0.357 1
Pt1 Pt 0.000 0.000 0.213 1
Pt2 Pt 0.000 0.000 0.500 1



# Mo4Pt5 | Alexandria | PBE | optimized geometry
# E_form ... -231 meV per atom
# Density ... 16.1 g cm⁻³
# Energy relative to the lowest polymorph listed for this composition ... 0.0000 eV per atom
data_Mo4Pt5
_space_group_name_H-M_alt 'I 4/m m m'
_space_group_IT_number 139
_space_group_name_Hall '-I 4 2'
_cell_length_a 8.485
_cell_length_b 8.485
_cell_length_c 3.903
_cell_angle_alpha 90.00
_cell_angle_beta 90.00
_cell_angle_gamma 90.00
loop_
_atom_site_label
_atom_site_type_symbol
_atom_site_fract_x
_atom_site_fract_y
_atom_site_fract_z
_atom_site_occupancy
Mo1 Mo 0.000 0.339 0.000 1
Pt1 Pt 0.000 0.000 0.000 1
Pt2 Pt 0.170 0.170 0.500 1



# MoPt4 | Alexandria | PBE | optimized geometry
# E_form ... -218 meV per atom
# Density ... 18.7 g cm⁻³
data_MoPt4
_space_group_name_H-M_alt 'F m m m'
_space_group_IT_number 69
_space_group_name_Hall '-F 2 2'
_cell_length_a 3.918
_cell_length_b 3.927
_cell_length_c 20.267
_cell_angle_alpha 90.00
_cell_angle_beta 90.00
_cell_angle_gamma 90.00
loop_
_atom_site_label
_atom_site_type_symbol
_atom_site_fract_x
_atom_site_fract_y
_atom_site_fract_z
_atom_site_occupancy
Mo1 Mo 0.000 0.000 0.000 1
Pt1 Pt 0.000 0.000 0.200 1
Pt2 Pt 0.000 0.000 0.405 1



# Mo5Pt3 | Alexandria | PBE | optimized geometry
# E_form ... -210 meV per atom
# Density ... 14.2 g cm⁻³
# Energy relative to the lowest polymorph listed for this composition ... 0.0000 eV per atom
data_Mo5Pt3
_space_group_name_H-M_alt 'C m m m'
_space_group_IT_number 65
_space_group_name_Hall '-C 2 2'
_cell_length_a 7.855
_cell_length_b 8.073
_cell_length_c 3.924
_cell_angle_alpha 90.00
_cell_angle_beta 90.00
_cell_angle_gamma 90.00
loop_
_atom_site_label
_atom_site_type_symbol
_atom_site_fract_x
_atom_site_fract_y
_atom_site_fract_z
_atom_site_occupancy
Mo1 Mo 0.000 0.000 0.000 1
Mo2 Mo 0.000 0.249 0.500 1
Mo3 Mo 0.250 0.250 0.000 1
Pt1 Pt 0.000 0.500 0.000 1
Pt2 Pt 0.247 0.500 0.500 1



# MoPt | Alexandria | PBE | optimized geometry
# E_form ... 690 meV per atom
# Density ... 13.4 g cm⁻³
data_MoPt
_space_group_name_H-M_alt 'F m -3 m'
_space_group_IT_number 225
_space_group_name_Hall '-F 4 2 3'
_cell_length_a 5.247
_cell_length_b 5.247
_cell_length_c 5.247
_cell_angle_alpha 90.00
_cell_angle_beta 90.00
_cell_angle_gamma 90.00
loop_
_atom_site_label
_atom_site_type_symbol
_atom_site_fract_x
_atom_site_fract_y
_atom_site_fract_z
_atom_site_occupancy
Mo1 Mo 0.000 0.000 0.000 1
Pt1 Pt 0.000 0.000 0.500 1



# Pu2MoPt | Alexandria | PBE | optimized geometry
# E_form ... -133 meV per atom
# Density ... 15.8 g cm⁻³
# Energy relative to the lowest polymorph listed for this composition ... 0.0000 eV per atom
data_Pu2MoPt
_space_group_name_H-M_alt 'P 4/m m m'
_space_group_IT_number 123
_space_group_name_Hall '-P 4 2'
_cell_length_a 4.848
_cell_length_b 4.848
_cell_length_c 3.492
_cell_angle_alpha 90.00
_cell_angle_beta 90.00
_cell_angle_gamma 90.00
loop_
_atom_site_label
_atom_site_type_symbol
_atom_site_fract_x
_atom_site_fract_y
_atom_site_fract_z
_atom_site_occupancy
Pu1 Pu 0.000 0.500 0.000 1
Mo1 Mo 0.000 0.000 0.500 1
Pt1 Pt 0.500 0.500 0.500 1



# Pu2MoPt | Alexandria | PBE | optimized geometry
# E_form ... 294 meV per atom
# Density ... 16.6 g cm⁻³
# Energy relative to the lowest polymorph listed for this composition ... 0.4262 eV per atom
data_Pu2MoPt
_space_group_name_H-M_alt 'R -3 m'
_space_group_IT_number 166
_space_group_name_Hall '-R 3 2"'
_cell_length_a 2.8899
_cell_length_b 2.8899
_cell_length_c 32.3032
_cell_angle_alpha 90.00
_cell_angle_beta 90.00
_cell_angle_gamma 120.00
loop_
_atom_site_label
_atom_site_type_symbol
_atom_site_fract_x
_atom_site_fract_y
_atom_site_fract_z
_atom_site_occupancy
Pu1 Pu 0.0000 0.0000 0.0866 1
Mo1 Mo 0.0000 0.0000 0.0000 1
Pt1 Pt 0.0000 0.0000 0.5000 1



| no. | magnetic moment (μB per atom) |
| --- | --- |
| 1 | 0.054 |
| 2 | 0.000 |
| 3 | 0.000 |
| 4 | 0.000 |
| 5 | 0.000 |
| 6 | 0.001 |
| 7 | 2.242 |
| 8 | 2.288 |